Entry 1:
A plane-wave DFT calculation with PBE was carried out for a relaxed Te2WCl crystal.

abc: 3.171 3.171 11.702
angles: 90.00 90.00 119.15
Fractional positions:
Cl (0.500, 0.500, 0.668)
Te (0.000, 0.000, 0.010)
Te (0.500, 0.500, 0.314)
W (0.000, 0.000, 0.507)

Output
**Energy above the lowest structure with this stoichiometry**: 387 meV per atom
**Formation energy from raw total energies**: 0.366 eV per atom
**Spin magnetization**: 0.22 Bohr magnetons per cell
**Symmetry**: Cmm2, No. 35
**Density**: 7.666 g cm⁻³



Entry 2:
A plane-wave DFT calculation with PBE was carried out for a relaxed TeWCl crystal.

abc: 7.633 7.633 7.633
angles: 155.90 155.90 34.34
Fractional positions:
W (0.665, 0.665, 0.000)
Te (0.279, 0.279, 0.000)
Cl (0.056, 0.056, 0.000)

Output
**Energy above the lowest structure with this stoichiometry**: 483 meV per atom
**Formation energy from raw total energies**: 0.218 eV per atom
**Spin magnetization**: 0.00 Bohr magnetons per cell
**Symmetry**: I4mm, No. 107
**Density**: 7.776 g cm⁻³



Entry 3:
A plane-wave DFT calculation with PBE was carried out for a relaxed TeWCl crystal.

abc: 8.540 8.239 3.190
angles: 84.41 73.77 21.82
Fractional positions:
Te (0.299, 0.299, 0.701)
Cl (0.042, 0.042, 0.958)
W (0.660, 0.660, 0.340)

Output
**Energy above the lowest structure with this stoichiometry**: 640 meV per atom
**Formation energy from raw total energies**: 0.375 eV per atom
**Spin magnetization**: 0.63 Bohr magnetons per cell
**Symmetry**: Fmm2, No. 42
**Density**: 8.068 g cm⁻³



Entry 4:
A plane-wave DFT calculation with PBE was carried out for a relaxed TeWCl crystal.

abc: 4.556 4.556 4.556
angles: 60.00 60.00 60.00
Fractional positions:
Te (0.500, 0.500, 0.500)
Cl (0.000, 0.000, 0.000)
W (0.250, 0.250, 0.250)

Output
**Energy above the lowest structure with this stoichiometry**: 737 meV per atom
**Formation energy from raw total energies**: 0.472 eV per atom
**Spin magnetization**: 1.00 Bohr magnetons per cell
**Symmetry**: F-43m, No. 216
**Density**: 8.613 g cm⁻³



Entry 5:
A plane-wave DFT calculation with PBE was carried out for a relaxed Te2WCl crystal.

abc: 3.315 3.315 8.173
angles: 90.00 90.00 90.00
Fractional positions:
Te (0.000, 0.000, 0.043)
Te (0.000, 0.000, 0.457)
Cl (0.500, 0.500, 0.750)
W (0.500, 0.500, 0.250)

Output
**Energy above the lowest structure with this stoichiometry**: 138 meV per atom
**Formation energy from raw total energies**: 0.118 eV per atom
**Spin magnetization**: 0.00 Bohr magnetons per cell
**Symmetry**: P4/mmm, No. 123
**Density**: 8.775 g cm⁻³



Entry 6:
A plane-wave DFT calculation with PBE was carried out for a relaxed Te2WCl crystal.

abc: 5.327 5.327 3.475
angles: 90.00 90.00 114.72
Fractional positions:
Cl (0.000, 0.500, 0.500)
Te (0.000, 0.000, 0.000)
Te (0.500, 0.500, 0.000)
W (0.500, 0.000, 0.500)

Output
**Energy above the lowest structure with this stoichiometry**: 889 meV per atom
**Formation energy from raw total energies**: 0.868 eV per atom
**Spin magnetization**: 1.79 Bohr magnetons per cell
**Symmetry**: Cmmm, No. 65
**Density**: 8.797 g cm⁻³